# Rb2MoF4

An optimized crystal structure of Rb2MoF4 (GGA+U, Alexandria via LeMat-Bulk).

The space group is I4/mmm (No. 139) and the conventional cell measures 4.366, 4.366 and 14.399 Å, with angles of 90.00, 90.00 and 90.00 degrees. The asymmetric unit holds Rb at (0.000, 0.000, 0.150), Mo at (0.000, 0.000, 0.500), F at (0.000, 0.000, 0.344) and F at (0.000, 0.500, 0.000).

Its raw total energy is -64.18 eV for the cell shown.

# Rb3Mo2F9

An optimized crystal structure of Rb3Mo2F9 (GGA+U, Alexandria via LeMat-Bulk).

The space group is R-3c (No. 167, hexagonal axes) and the conventional cell measures 10.9450, 10.9450 and 14.9666 Å, with angles of 90.00, 90.00 and 120.00 degrees. The asymmetric unit holds Rb at (0.0000, 0.3468, 0.2500), Mo at (0.0000, 0.0000, 0.1495), F at (0.0000, 0.1458, 0.7500) and F at (0.0046, 0.1682, 0.4139).

Its raw total energy is -427.27 eV for the cell shown.

# Rb3Mo5F12

An optimized crystal structure of Rb3Mo5F12 (GGA+U, Alexandria via LeMat-Bulk).

The space group is Ia-3d (No. 230) and the conventional cell measures 14.855, 14.855 and 14.855 Å, with angles of 90.00, 90.00 and 90.00 degrees. The asymmetric unit holds Rb at (0.000, 0.250, 0.125), Mo at (0.000, 0.000, 0.000), Mo at (0.000, 0.250, 0.375) and F at (0.027, 0.051, 0.630).

Its raw total energy is -804.82 eV for the cell shown.

# Rb6MoF12

An optimized crystal structure of Rb6MoF12 (GGA+U, Alexandria via LeMat-Bulk).

The space group is R-3 (No. 148, hexagonal axes) and the conventional cell measures 12.1869, 12.1869 and 11.2240 Å, with angles of 90.00, 90.00 and 120.00 degrees. The asymmetric unit holds Rb at (0.0259, 0.2354, 0.1425), Mo at (0.0000, 0.0000, 0.5000), F at (0.0188, 0.1404, 0.4047) and F at (0.0190, 0.2254, 0.8952).

Its raw total energy is -249.01 eV for the cell shown.

# Rb2MoF2

An optimized crystal structure of Rb2MoF2 (GGA+U, Alexandria via LeMat-Bulk).

The space group is P4/mbm (No. 127) and the conventional cell measures 8.689, 8.689 and 3.420 Å, with angles of 90.00, 90.00 and 90.00 degrees. The asymmetric unit holds Rb at (0.135, 0.365, 0.000), Mo at (0.000, 0.000, 0.000) and F at (0.137, 0.637, 0.500).

The value obtained for the energy above the most stable polymorph in this dataset is 78 meV per atom.

# Rb2MoF

An optimized crystal structure of Rb2MoF (GGA+U, Alexandria via LeMat-Bulk).

The space group is I-42d (No. 122) and the conventional cell measures 8.404, 8.404 and 10.075 Å, with angles of 90.00, 90.00 and 90.00 degrees. The asymmetric unit holds Rb at (0.128, 0.250, 0.125), Mo at (0.000, 0.000, 0.500) and F at (0.000, 0.000, 0.000).

The value obtained for the energy above the most stable polymorph in this dataset is 0 meV per atom.